No. 1
An optimized crystal structure of Li4Ge5O12. Source: Alexandria via LeMat-Bulk, functional PBE-GGA.

Properties
DFT total energy ... -6.12 eV/atom
ΔE_f (raw) ... -1824 meV per atom

a = 5.211 Å, b = 9.314 Å, c = 9.765 Å
α = 73.02°, β = 77.52°, γ = 78.85°
Atoms (fractional coordinates):
Li 0.136 0.406 0.407
Li 0.272 0.907 0.021
Li 0.313 0.766 0.557
Li 0.346 0.576 0.113
Li 0.654 0.424 0.887
Li 0.687 0.234 0.443
Li 0.728 0.093 0.979
Li 0.864 0.594 0.593
Ge 0.118 0.594 0.852
Ge 0.189 0.255 0.935
Ge 0.197 0.099 0.683
Ge 0.256 0.096 0.267
Ge 0.409 0.422 0.645
Ge 0.591 0.578 0.355
Ge 0.744 0.904 0.733
Ge 0.803 0.901 0.317
Ge 0.811 0.745 0.065
Ge 0.882 0.406 0.148
O 0.047 0.260 0.302
O 0.052 0.432 0.776
O 0.086 0.936 0.371
O 0.104 0.101 0.867
O 0.149 0.732 0.951
O 0.233 0.423 0.013
O 0.267 0.567 0.485
O 0.321 0.263 0.569
O 0.345 0.100 0.082
O 0.445 0.580 0.730
O 0.445 0.939 0.661
O 0.488 0.728 0.189
O 0.512 0.272 0.811
O 0.555 0.061 0.339
O 0.555 0.420 0.270
O 0.655 0.900 0.918
O 0.679 0.737 0.431
O 0.733 0.433 0.515
O 0.767 0.577 0.987
O 0.851 0.268 0.049
O 0.896 0.899 0.133
O 0.914 0.064 0.629
O 0.948 0.568 0.224
O 0.953 0.740 0.698

=====

No. 2
An optimized crystal structure of LiCa3Tm2Te6. Source: Alexandria via LeMat-Bulk, functional PBE-GGA.

Properties
DFT total energy ... -4.41 eV/atom
ΔE_f (raw) ... -1436 meV per atom

a = 7.613 Å, b = 7.613 Å, c = 7.646 Å
α = 99.58°, β = 99.58°, γ = 119.96°
Atoms (fractional coordinates):
Li 0.000 0.000 0.000
Ca 0.167 0.833 0.500
Ca 0.500 0.500 0.500
Ca 0.833 0.167 0.500
Tm 0.334 0.666 0.000
Tm 0.666 0.334 0.000
Te 0.079 0.411 0.237
Te 0.253 0.253 0.762
Te 0.411 0.079 0.237
Te 0.589 0.921 0.763
Te 0.747 0.747 0.238
Te 0.921 0.589 0.763

=====

No. 3
An optimized crystal structure of SnSe2F. Source: Alexandria via LeMat-Bulk, functional PBE-GGA.

Properties
DFT total energy ... -3.51 eV/atom
Excess energy over the best structure of this formula in the dataset ... 527 meV per atom
ΔE_f (raw) ... -302 meV per atom

a = 4.741 Å, b = 4.741 Å, c = 4.741 Å
α = 60.00°, β = 60.00°, γ = 60.00°
Atoms (fractional coordinates):
Sn 0.000 0.000 0.000
Se 0.250 0.250 0.250
Se 0.750 0.750 0.750
F 0.500 0.500 0.500

=====

No. 4
An optimized crystal structure of LiPuFe4. Source: Alexandria via LeMat-Bulk, functional PBE-GGA.

Properties
DFT total energy ... -8.07 eV/atom
DFT formation energy ... 278.2 meV/atom

a = 4.874 Å, b = 4.874 Å, c = 4.874 Å
α = 60.00°, β = 60.00°, γ = 60.00°
Atoms (fractional coordinates):
Li 0.000 0.000 0.000
Pu 0.750 0.750 0.750
Fe 0.375 0.375 0.375
Fe 0.375 0.375 0.876
Fe 0.375 0.876 0.375
Fe 0.876 0.375 0.375

=====

No. 5
An optimized crystal structure of MnInBr2. Source: Alexandria via LeMat-Bulk, functional PBE-GGA.

Properties
DFT total energy ... -3.82 eV/atom
Excess energy over the best structure of this formula in the dataset ... 406 meV per atom
ΔE_f (raw) ... -5 meV per atom

a = 5.342 Å, b = 5.342 Å, c = 5.342 Å
α = 60.00°, β = 60.00°, γ = 60.00°
Atoms (fractional coordinates):
Mn 0.000 0.000 0.000
In 0.500 0.500 0.500
Br 0.250 0.250 0.250
Br 0.750 0.750 0.750

=====

No. 6
An optimized crystal structure of Ta2VIn2S6. Source: Alexandria via LeMat-Bulk, functional PBE-GGA.

Properties
DFT total energy ... -6.53 eV/atom
ΔE_f (raw) ... -800 meV per atom

a = 5.824 Å, b = 5.824 Å, c = 8.435 Å
α = 96.00°, β = 96.00°, γ = 119.73°
Atoms (fractional coordinates):
Ta 0.164 0.836 0.000
Ta 0.836 0.164 0.000
V 0.500 0.500 0.000
In 0.207 0.793 0.500
In 0.793 0.207 0.500
S 0.120 0.120 0.815
S 0.227 0.554 0.181
S 0.446 0.773 0.819
S 0.554 0.227 0.181
S 0.773 0.446 0.819
S 0.880 0.880 0.185

=====

No. 7
An optimized crystal structure of Ti2Ag2Sn. Source: Alexandria via LeMat-Bulk, functional PBE-GGA.

Properties
DFT total energy ... -4.89 eV/atom
Excess energy over the best structure of this formula in the dataset ... 105 meV per atom
DFT formation energy ... 207.3 meV/atom

a = 7.251 Å, b = 7.251 Å, c = 3.812 Å
α = 90.00°, β = 90.00°, γ = 90.00°
Atoms (fractional coordinates):
Ti 0.137 0.363 0.000
Ti 0.363 0.863 0.000
Ti 0.637 0.137 0.000
Ti 0.863 0.637 0.000
Ag 0.150 0.650 0.500
Ag 0.350 0.150 0.500
Ag 0.650 0.850 0.500
Ag 0.850 0.350 0.500
Sn 0.000 0.000 0.000
Sn 0.500 0.500 0.000

=====

No. 8
An optimized crystal structure of Sm4AlIn3. Source: Alexandria via LeMat-Bulk, functional PBE-GGA.

Properties
DFT total energy ... -4.31 eV/atom
Excess energy over the best structure of this formula in the dataset ... 0 meV per atom
DFT formation energy ... -458.6 meV/atom

a = 3.778 Å, b = 3.778 Å, c = 15.339 Å
α = 90.00°, β = 90.00°, γ = 90.00°
Atoms (fractional coordinates):
Sm 0.000 0.000 0.117
Sm 0.000 0.000 0.371
Sm 0.000 0.000 0.629
Sm 0.000 0.000 0.883
Al 0.500 0.500 0.000
In 0.500 0.500 0.244
In 0.500 0.500 0.500
In 0.500 0.500 0.756

=====

No. 9
An optimized crystal structure of RbCoHgCl5. Source: Alexandria via LeMat-Bulk, functional PBE-GGA.

Properties
DFT total energy ... -3.13 eV/atom
ΔE_f (raw) ... -932 meV per atom

a = 7.612 Å, b = 7.612 Å, c = 9.346 Å
α = 102.87°, β = 102.87°, γ = 106.47°
Atoms (fractional coordinates):
Rb 0.146 0.854 0.750
Rb 0.854 0.146 0.250
Co 0.189 0.811 0.250
Co 0.811 0.189 0.750
Hg 0.500 0.500 0.000
Hg 0.500 0.500 0.500
Cl 0.091 0.255 0.931
Cl 0.179 0.593 0.380
Cl 0.255 0.091 0.431
Cl 0.407 0.821 0.120
Cl 0.418 0.582 0.750
Cl 0.582 0.418 0.250
Cl 0.593 0.179 0.880
Cl 0.745 0.909 0.569
Cl 0.821 0.407 0.620
Cl 0.909 0.745 0.069

=====

No. 10
An optimized crystal structure of Y3Tm4Cu4. Source: Alexandria via LeMat-Bulk, functional PBE-GGA.

Properties
DFT total energy ... -4.99 eV/atom
DFT formation energy ... -108.5 meV/atom

a = 8.644 Å, b = 8.644 Å, c = 8.644 Å
α = 147.91°, β = 129.74°, γ = 60.89°
Atoms (fractional coordinates):
Y 0.000 0.000 0.000
Y 0.395 0.895 0.500
Y 0.605 0.105 0.500
Tm 0.045 0.328 0.717
Tm 0.389 0.672 0.717
Tm 0.611 0.328 0.283
Tm 0.955 0.672 0.283
Cu 0.204 0.204 0.000
Cu 0.332 0.500 0.832
Cu 0.668 0.500 0.168
Cu 0.796 0.796 0.000

=====

No. 11
An optimized crystal structure of CdSiAu2. Source: Alexandria via LeMat-Bulk, functional PBE-GGA.

Properties
DFT total energy ... -3.08 eV/atom
Excess energy over the best structure of this formula in the dataset ... 141 meV per atom
ΔE_f (raw) ... 143 meV per atom

a = 4.724 Å, b = 4.724 Å, c = 4.724 Å
α = 60.00°, β = 60.00°, γ = 60.00°
Atoms (fractional coordinates):
Cd 0.000 0.000 0.000
Si 0.500 0.500 0.500
Au 0.250 0.250 0.250
Au 0.750 0.750 0.750

=====

No. 12
An optimized crystal structure of Cs3Bi2Te4. Source: Alexandria via LeMat-Bulk, functional PBE-GGA.

Properties
DFT total energy ... -3.16 eV/atom
Excess energy over the best structure of this formula in the dataset ... 21 meV per atom
ΔE_f (raw) ... -614 meV per atom

a = 10.478 Å, b = 10.478 Å, c = 8.359 Å
α = 107.68°, β = 107.68°, γ = 32.05°
Atoms (fractional coordinates):
Cs 0.000 0.000 0.000
Cs 0.136 0.136 0.572
Cs 0.864 0.864 0.428
Bi 0.332 0.332 0.988
Bi 0.668 0.668 0.012
Te 0.207 0.207 0.159
Te 0.459 0.459 0.272
Te 0.541 0.541 0.728
Te 0.793 0.793 0.841